## RbSr2Zn2 (PBE)

Data for an optimized crystal structure of RbSr2Zn2.

Output
The offset from the most stable computed form is 56 meV per atom. The density of states at the Fermi level is 11.6 states/eV per cell. The calculation puts the uncorrected energy at -1.33 eV/atom. For the formation energy, the calculation gives 0.2 eV per formula unit.

```
data_RbSr2Zn2
_space_group_name_H-M_alt 'P 4/m b m'
_space_group_IT_number 127
_space_group_name_Hall '-P 4 2ab'
_cell_length_a 9.713
_cell_length_b 9.713
_cell_length_c 3.879
_cell_angle_alpha 90.00
_cell_angle_beta 90.00
_cell_angle_gamma 90.00
loop_
_atom_site_label
_atom_site_type_symbol
_atom_site_fract_x
_atom_site_fract_y
_atom_site_fract_z
Rb1 Rb 0.000 0.000 0.000
Sr1 Sr 0.136 0.364 0.000
Zn1 Zn 0.155 0.655 0.500
```

## Er2InSn4 (PBE)

Data for an optimized crystal structure of Er2InSn4.

Output
The offset from the most stable computed form is 0 meV per atom. The density of states at the Fermi level is 7.0 states/eV per cell. The calculation puts the uncorrected energy at -4.35 eV/atom. For the formation energy, the calculation gives -2.6 eV per formula unit.

```
data_Er2InSn4
_space_group_name_H-M_alt 'C 1 2/m 1'
_space_group_IT_number 12
_cell_length_a 9.002
_cell_length_b 9.239
_cell_length_c 6.421
_cell_angle_alpha 90.00
_cell_angle_beta 133.84
_cell_angle_gamma 90.00
loop_
_space_group_symop_operation_xyz
'x,y,z'
'-x,-y,-z'
'-x,y,-z'
'x,-y,z'
'x+1/2,y+1/2,z'
'-x+1/2,-y+1/2,-z'
'-x+1/2,y+1/2,-z'
'x+1/2,-y+1/2,z'
loop_
_atom_site_label
_atom_site_type_symbol
_atom_site_fract_x
_atom_site_fract_y
_atom_site_fract_z
Er1 Er 0.250 0.250 0.000
In1 In 0.000 0.000 0.500
Sn1 Sn 0.000 0.000 0.000
Sn2 Sn 0.000 0.500 0.000
Sn3 Sn 0.250 0.250 0.500
```